# PBE-GGA LiHo4Se4, optimized geometry
data_LiHo4Se4
_chemical_formula_sum 'Li2 Ho8 Se8'
_cell_length_a 12.5086
_cell_length_b 5.6689
_cell_length_c 8.8424
_cell_angle_alpha 90.00
_cell_angle_beta 134.92
_cell_angle_gamma 90.00
_symmetry_space_group_name_H-M 'C 1 2/m 1'
_symmetry_Int_Tables_number 12
loop_
_symmetry_equiv_pos_as_xyz
'x,y,z'
'-x,-y,-z'
'-x,y,-z'
'x,-y,z'
'x+1/2,y+1/2,z'
'-x+1/2,-y+1/2,-z'
'-x+1/2,y+1/2,-z'
'x+1/2,-y+1/2,z'
loop_
_atom_site_label
_atom_site_fract_x
_atom_site_fract_y
_atom_site_fract_z
Li1 0.0000 0.0000 0.0000
Ho1 0.0959 0.5000 0.8016
Ho2 0.2047 0.0000 0.6079
Se1 0.0930 0.0000 0.8030
Se2 0.2096 0.5000 0.6173
# **Magnetic moment**: 0.000 μB per atom
# **Uncorrected formation energy**: -1457 meV per atom
# **Calculated volume**: 24.67 Å³/atom

# PBE-GGA LiHoSe2, optimized geometry
data_LiHoSe2
_chemical_formula_sum 'Li3 Ho3 Se6'
_cell_length_a 4.0529
_cell_length_b 4.0529
_cell_length_c 19.4860
_cell_angle_alpha 90.00
_cell_angle_beta 90.00
_cell_angle_gamma 120.00
_symmetry_space_group_name_H-M 'R -3 m'
_symmetry_Int_Tables_number 166
_symmetry_space_group_name_Hall '-R 3 2"'
loop_
_atom_site_label
_atom_site_fract_x
_atom_site_fract_y
_atom_site_fract_z
Li1 0.0000 0.0000 0.0000
Ho1 0.0000 0.0000 0.5000
Se1 0.0000 0.0000 0.2507
# **Magnetic moment**: 0.000 μB per atom
# **Uncorrected formation energy**: -1697 meV per atom
# **Calculated volume**: 23.10 Å³/atom